A relaxed structure of Ta5Re, computed with PBE.

```
data_Ta5Re
_chemical_formula_sum 'Ta20 Re4'
_symmetry_space_group_name_H-M 'F -4 3 m'
_symmetry_Int_Tables_number 216
_symmetry_space_group_name_Hall 'F -4 2 3'
_cell_length_a 7.594
_cell_length_b 7.594
_cell_length_c 7.594
_cell_angle_alpha 90.00
_cell_angle_beta 90.00
_cell_angle_gamma 90.00
loop_
_atom_site_label
_atom_site_fract_x
_atom_site_fract_y
_atom_site_fract_z
Ta1 0.000 0.000 0.000
Ta2 0.125 0.125 0.375
Re1 0.250 0.250 0.750
```

Energy of formation   0.262 eV/atom
Energy above the most stable polymorph in this dataset   0.4276 eV/atom
E_tot   -280.57 eV for the cell shown
Total magnetic moment   0.0 Bohr magnetons per cell